! GGA-PBE NiPtN, optimized geometry; values from VASP
&SYSTEM
  ibrav = 0, nat = 6, ntyp = 3
/
ATOMIC_SPECIES
N 14.01 N.upf
Ni 58.69 Ni.upf
Pt 195.08 Pt.upf
ATOMIC_POSITIONS crystal
N 0.0339 0.0339 0.5681
N 0.9661 0.9661 0.4319
Ni 0.8601 0.8601 0.2218
Ni 0.1399 0.1399 0.7782
Pt 0.2931 0.2931 0.0866
Pt 0.7069 0.7069 0.9134
CELL_PARAMETERS angstrom
-1.4356 -0.1942 2.9222
2.9273 -0.1133 1.4338
-0.6975 8.5565 -1.5796
! - E_form (uncorrected) (eV/f.u.) = 0.54
! - volume (Å³ per cell) = 89.6
! - electronic total energy (eV per atom) = -6.535
! - space-group type = C2/m, No. 12

=====

! GGA-PBE LaPr2Ho3, optimized geometry; values from VASP
&SYSTEM
  ibrav = 0, nat = 12, ntyp = 3
/
ATOMIC_SPECIES
La 138.91 La.upf
Ho 164.93 Ho.upf
Pr 140.91 Pr.upf
ATOMIC_POSITIONS crystal
La 0.1261 0.2522 0.1305
La 0.8739 0.7478 0.8695
Ho 0.6224 0.2448 0.6179
Ho 0.3776 0.7552 0.3821
Ho 0.7112 0.4223 0.3827
Ho 0.9567 0.9133 0.6184
Ho 0.2888 0.5777 0.6173
Ho 0.0433 0.0867 0.3816
Pr 0.5407 0.0813 0.8705
Pr 0.7946 0.5893 0.1310
Pr 0.2054 0.4107 0.8690
Pr 0.4593 0.9187 0.1295
CELL_PARAMETERS angstrom
-5.1359 -0.0135 0.1531
2.7772 -3.8138 6.6037
-0.0113 11.4421 0.6313
! - volume (Å³ per cell) = 405.3
! - electronic total energy (eV per atom) = -4.677
! - ΔH_f (0 K) (meV/atom) = 27
! - ΔE to the lowest computed polymorph (meV per atom) = 0
! - space-group type = C2/m, No. 12